Entry 1:
A plane-wave DFT calculation with PBEsol was carried out for an optimized crystal structure of YAuS2.

Lattice parameters (Å, degrees): 4.051 4.051 7.649 74.64 74.64 60.00
Positions (direct):
Y1 0.500 0.500 0.500
S1 0.896 0.896 0.311
S2 0.104 0.104 0.689
Au1 0.000 0.000 0.000

Summary:
For the density of states at the Fermi level, the calculation gives 0.000 states/eV/atom. The calculation puts the formation energy (no corrections) at -1272 meV per atom.


Entry 2:
A plane-wave DFT calculation with PBEsol was carried out for an optimized crystal structure of YAu3S.

Lattice parameters (Å, degrees): 4.738 4.738 4.738 90.00 90.00 90.00
Positions (direct):
Y1 0.500 0.500 0.500
S1 0.000 0.000 0.000
Au1 0.000 0.500 0.000
Au2 0.000 0.000 0.500
Au3 0.500 0.000 0.000

Summary:
For the density of states at the Fermi level, the calculation gives 0.574 states/eV/atom. The calculation puts the formation energy (no corrections) at 31 meV per atom.


Entry 3:
A plane-wave DFT calculation with PBEsol was carried out for an optimized crystal structure of Sb3Au.

Lattice parameters (Å, degrees): 5.078 5.078 5.078 109.47 109.47 109.47
Positions (direct):
Sb1 0.500 0.500 0.000
Sb2 0.000 0.500 0.500
Sb3 0.500 0.000 0.500
Au1 0.000 0.000 0.000

Summary:
As for the energy above the most stable polymorph in this dataset: 0.069 eV per atom. For the density of states at the Fermi level, the calculation gives 0.559 states/eV/atom. The calculation puts the formation energy (no corrections) at 31 meV per atom.


Entry 4:
A plane-wave DFT calculation with PBEsol was carried out for an optimized crystal structure of SbAu3.

Lattice parameters (Å, degrees): 3.639 3.639 5.711 90.00 90.00 90.00
Positions (direct):
Sb1 0.500 0.500 0.500
Au1 0.000 0.000 0.757
Au2 0.500 0.500 0.000
Au3 0.000 0.000 0.243

Summary:
For the density of states at the Fermi level, the calculation gives 0.286 states/eV/atom. The calculation puts the formation energy (no corrections) at 35 meV per atom.


Entry 5:
A plane-wave DFT calculation with PBEsol was carried out for an optimized crystal structure of Sb2Au3.

Lattice parameters (Å, degrees): 3.988 3.988 8.236 75.99 75.99 60.00
Positions (direct):
Sb1 0.596 0.596 0.211
Sb2 0.404 0.404 0.789
Au1 0.000 0.000 0.000
Au2 0.198 0.198 0.405
Au3 0.802 0.802 0.595

Summary:
For the density of states at the Fermi level, the calculation gives 0.398 states/eV/atom. The calculation puts the formation energy (no corrections) at -25 meV per atom.


Entry 6:
A plane-wave DFT calculation with PBEsol was carried out for an optimized crystal structure of SbAu3.

Lattice parameters (Å, degrees): 3.838 4.571 4.944 105.99 112.84 90.00
Positions (direct):
Sb1 0.000 0.000 0.000
Au1 0.500 0.500 0.000
Au2 0.249 0.742 0.499
Au3 0.751 0.258 0.501

Summary:
For the density of states at the Fermi level, the calculation gives 0.392 states/eV/atom. The calculation puts the formation energy (no corrections) at 49 meV per atom.


Entry 7:
A plane-wave DFT calculation with PBEsol was carried out for an optimized crystal structure of Sb3Au.

Lattice parameters (Å, degrees): 3.930 4.353 6.516 109.51 107.55 90.00
Positions (direct):
Au1 0.000 0.500 0.000
Sb1 0.691 0.691 0.383
Sb2 0.309 0.309 0.617
Sb3 0.500 0.000 0.000

Summary:
As for the energy above the most stable polymorph in this dataset: 0.130 eV per atom. For the density of states at the Fermi level, the calculation gives 0.511 states/eV/atom. The calculation puts the formation energy (no corrections) at 91 meV per atom.


Entry 8:
A plane-wave DFT calculation with PBEsol was carried out for an optimized crystal structure of Sb3Au.

Lattice parameters (Å, degrees): 5.026 5.026 5.026 98.89 115.01 115.01
Positions (direct):
Au1 0.000 0.000 0.000
Sb1 0.500 0.250 0.750
Sb2 0.000 0.500 0.500
Sb3 0.500 0.750 0.250

Summary:
As for the energy above the most stable polymorph in this dataset: 0.250 eV per atom. For the density of states at the Fermi level, the calculation gives 0.636 states/eV/atom. The calculation puts the formation energy (no corrections) at 211 meV per atom.